1.
YSi2Ru: optimized geometry, PBEsol.

Unit cell a=6.9350 b=4.0554 c=5.3957 alpha=90.00 beta=115.91 gamma=90.00
Closest atoms and distances in Å follow each position.
Fractional coordinates of all 8 atoms:
Y (0.0000, 0.0000, 0.0000)  8 Si 2.91-3.09
Y (0.5000, 0.5000, 0.0000)  8 Si 2.91-3.09
Si (0.2113, 0.0000, 0.6371)  3 Ru 2.42, 3 Si 2.64-2.70
Si (0.2887, 0.5000, 0.3629)  3 Ru 2.42, 3 Si 2.64-2.70
Si (0.7113, 0.5000, 0.6371)  3 Ru 2.42, 3 Si 2.64-2.70
Si (0.7887, 0.0000, 0.3629)  3 Ru 2.42, 3 Si 2.64-2.70
Ru (0.0000, 0.5000, 0.5000)  6 Si 2.42
Ru (0.5000, 0.0000, 0.5000)  6 Si 2.42

Summary:
The uncorrected energy is -7.927 eV/atom. As for the density: 5989 kg/m³. As for the crystal system: monoclinic.

=====

2.
Zn2SiRu: optimized geometry, PBEsol.

Unit cell a=2.9152 b=4.6452 c=8.3090 alpha=90.00 beta=90.00 gamma=90.00
Closest atoms and distances in Å follow each position.
Fractional coordinates of all 8 atoms:
Zn (0.0000, 0.0000, 0.0000)  2 Si 2.61, 8 Zn 2.63-2.92
Zn (0.0000, 0.5000, 0.2633)  2 Ru 2.59, 6 Zn 2.63-2.74
Zn (0.5000, 0.0000, 0.2633)  2 Ru 2.59, 6 Zn 2.63-2.74
Zn (0.5000, 0.5000, 0.0000)  2 Si 2.61, 8 Zn 2.63-2.92
Si (0.0000, 0.5000, 0.7389)  2 Ru 2.33
Si (0.5000, 0.0000, 0.7389)  2 Ru 2.33
Ru (0.0000, 0.0000, 0.5204)  2 Si 2.33, 2 Zn 2.59
Ru (0.5000, 0.5000, 0.5204)  2 Si 2.33, 2 Zn 2.59

Summary:
The uncorrected energy is -4.680 eV/atom. As for the density: 7673 kg/m³. As for the crystal system: orthorhombic.

=====

3.
ZnSi2Ru2: optimized geometry, PBEsol.

Unit cell a=6.8391 b=6.8391 c=2.8654 alpha=90.00 beta=90.00 gamma=90.00
Closest atoms and distances in Å follow each position.
Fractional coordinates of all 10 atoms:
Zn (0.0000, 0.0000, 0.0000)  4 Ru 2.60, 2 Zn 2.87
Zn (0.5000, 0.5000, 0.0000)  4 Ru 2.60, 2 Zn 2.87
Si (0.1449, 0.3551, 0.5000)  6 Ru 2.44-2.48
Si (0.3551, 0.8551, 0.5000)  6 Ru 2.44-2.48
Si (0.6449, 0.1449, 0.5000)  6 Ru 2.44-2.48
Si (0.8551, 0.6449, 0.5000)  6 Ru 2.44-2.48
Ru (0.1508, 0.6508, 0.0000)  6 Si 2.44-2.48, 2 Zn 2.60
Ru (0.3492, 0.1508, 0.0000)  6 Si 2.44-2.48, 2 Zn 2.60
Ru (0.6508, 0.8492, 0.0000)  6 Si 2.44-2.48, 2 Zn 2.60
Ru (0.8492, 0.3492, 0.0000)  6 Si 2.44-2.48, 2 Zn 2.60

Summary:
The uncorrected energy is -7.145 eV/atom. As for the density: 8022 kg/m³. As for the crystal system: tetragonal.

=====

4.
ZnSi2Ru: optimized geometry, PBEsol.

Unit cell a=3.6809 b=3.6809 c=7.6280 alpha=90.00 beta=90.00 gamma=90.00
Closest atoms and distances in Å follow each position.
Fractional coordinates of all 8 atoms:
Zn (0.0000, 0.0000, 0.0000)  8 Si 2.60-2.65, 4 Ru 2.65
Zn (0.5000, 0.5000, 0.5000)  8 Si 2.60-2.65, 4 Ru 2.65
Si (0.0000, 0.0000, 0.5000)  4 Zn 2.60, 4 Ru 2.65, 4 Si 2.65
Si (0.0000, 0.5000, 0.7500)  4 Ru 2.60, 4 Zn 2.65, 4 Si 2.65
Si (0.5000, 0.0000, 0.2500)  4 Ru 2.60, 4 Si 2.65, 4 Zn 2.65
Si (0.5000, 0.5000, 0.0000)  4 Zn 2.60, 4 Ru 2.65, 4 Si 2.65
Ru (0.0000, 0.5000, 0.2500)  8 Si 2.60-2.65, 4 Zn 2.65
Ru (0.5000, 0.0000, 0.7500)  8 Si 2.60-2.65, 4 Zn 2.65

Summary:
The uncorrected energy is -5.854 eV/atom. As for the density: 7154 kg/m³. As for the crystal system: tetragonal.

=====

Energy relative to the elements, uncorrected (eV/atom)
-0.8053 0.0903 -0.4614 -0.0424
Fermi-level density of states (states/eV/f.u.)
2.55 2.42 1.96 1.37